<i>
VASP calculation (PBE) on crystalline VNi6W at its relaxed geometry.

a b c (Å): 4.185 5.009 4.436
angles (deg): 90.00 90.00 90.00
Positions (direct):
V 0.000 0.000 0.000
Ni 0.000 0.248 0.492
Ni 0.000 0.500 0.984
Ni 0.000 0.752 0.492
Ni 0.500 0.000 0.315
Ni 0.500 0.247 0.813
Ni 0.500 0.753 0.813
W 0.500 0.500 0.307

Properties
- Magnetization: 0.0 μB per formula unit
- DOS at the Fermi energy: 6.03 states/eV/cell
- Crystal system: orthorhombic


<ii>
VASP calculation (PBE) on crystalline VNi6W at its relaxed geometry.

a b c (Å): 4.775 4.775 4.775
angles (deg): 82.62 82.62 82.62
Positions (direct):
V 0.000 0.000 0.000
Ni 0.157 0.157 0.534
Ni 0.157 0.534 0.157
Ni 0.466 0.843 0.843
Ni 0.534 0.157 0.157
Ni 0.843 0.466 0.843
Ni 0.843 0.843 0.466
W 0.500 0.500 0.500

Properties
- Magnetization: 0.0 μB per formula unit
- DOS at the Fermi energy: 7.73 states/eV/cell
- Crystal system: trigonal


Short version: <ii> is the least stable of them.


<i>
VASP calculation (PBE) on crystalline VNiW2 at its relaxed geometry.

a b c (Å): 3.784 3.784 3.993
angles (deg): 90.00 90.00 90.00
Positions (direct):
V 0.000 0.000 0.000
Ni 0.500 0.500 0.000
W 0.000 0.500 0.500
W 0.500 0.000 0.500

Properties
- Magnetization: 0.0 μB per formula unit
- DOS at the Fermi energy: 4.67 states/eV/cell
- Crystal system: tetragonal


<ii>
VASP calculation (PBE) on crystalline VNiW2 at its relaxed geometry.

a b c (Å): 6.098 6.098 6.098
angles (deg): 90.00 90.00 90.00
Positions (direct):
V 0.000 0.000 0.000
V 0.000 0.500 0.500
V 0.500 0.000 0.500
V 0.500 0.500 0.000
Ni 0.000 0.000 0.500
Ni 0.000 0.500 0.000
Ni 0.500 0.000 0.000
Ni 0.500 0.500 0.500
W 0.250 0.250 0.250
W 0.250 0.250 0.750
W 0.250 0.750 0.250
W 0.250 0.750 0.750
W 0.750 0.250 0.250
W 0.750 0.250 0.750
W 0.750 0.750 0.250
W 0.750 0.750 0.750

Properties
- Magnetization: 0.0 μB per formula unit
- DOS at the Fermi energy: 21.59 states/eV/cell
- Crystal system: cubic


<iii>
VASP calculation (PBE) on crystalline VNiW2 at its relaxed geometry.

a b c (Å): 6.855 6.855 5.196
angles (deg): 90.00 90.00 90.00
Positions (direct):
V 0.000 0.000 0.000
V 0.000 0.500 0.250
V 0.500 0.000 0.750
V 0.500 0.500 0.500
Ni 0.000 0.000 0.500
Ni 0.000 0.500 0.750
Ni 0.500 0.000 0.250
Ni 0.500 0.500 0.000
W 0.235 0.250 0.625
W 0.250 0.735 0.875
W 0.250 0.765 0.375
W 0.265 0.250 0.125
W 0.735 0.750 0.125
W 0.750 0.235 0.375
W 0.750 0.265 0.875
W 0.765 0.750 0.625

Properties
- Magnetization: 0.0 μB per formula unit
- DOS at the Fermi energy: 16.42 states/eV/cell
- Crystal system: tetragonal


Short version: <iii> is the least stable of them.


<i>
VASP calculation (PBE) on crystalline VNi3W at its relaxed geometry.

a b c (Å): 4.166 4.166 4.166
angles (deg): 90.00 90.00 90.00
Positions (direct):
V 0.000 0.000 0.000
Ni 0.000 0.000 0.500
Ni 0.000 0.500 0.000
Ni 0.500 0.000 0.000
W 0.500 0.500 0.500

Properties
- Magnetization: 0.0 μB per formula unit
- DOS at the Fermi energy: 6.40 states/eV/cell
- Crystal system: cubic


<ii>
VASP calculation (PBE) on crystalline VNi3W at its relaxed geometry.

a b c (Å): 7.497 7.497 4.400
angles (deg): 97.63 97.63 32.34
Positions (direct):
V 0.129 0.129 0.370
V 0.871 0.871 0.630
Ni 0.032 0.032 0.765
Ni 0.213 0.213 0.899
Ni 0.303 0.303 0.454
Ni 0.697 0.697 0.546
Ni 0.787 0.787 0.101
Ni 0.968 0.968 0.235
W 0.399 0.399 0.018
W 0.601 0.601 0.982

Properties
- Magnetization: 0.0 μB per formula unit
- DOS at the Fermi energy: 8.17 states/eV/cell
- Crystal system: monoclinic


Short version: <i> is the least stable of them.


<i>
VASP calculation (PBE) on crystalline V3NiW at its relaxed geometry.

a b c (Å): 4.560 4.560 4.560
angles (deg): 90.00 90.00 90.00
Positions (direct):
V 0.000 0.000 0.500
V 0.000 0.500 0.000
V 0.500 0.000 0.000
Ni 0.500 0.500 0.500
W 0.000 0.000 0.000

Properties
- Magnetization: 2.2 μB per formula unit
- DOS at the Fermi energy: 9.08 states/eV/cell
- Crystal system: cubic


<ii>
VASP calculation (PBE) on crystalline V3NiW at its relaxed geometry.

a b c (Å): 4.281 4.281 4.281
angles (deg): 90.00 90.00 90.00
Positions (direct):
V 0.000 0.000 0.500
V 0.000 0.500 0.000
V 0.500 0.000 0.000
Ni 0.000 0.000 0.000
W 0.500 0.500 0.500

Properties
- Magnetization: 0.0 μB per formula unit
- DOS at the Fermi energy: 7.49 states/eV/cell
- Crystal system: cubic


Short version: <i> is the least stable of them.


<i>
VASP calculation (PBE) on crystalline VNi4W at its relaxed geometry.

a b c (Å): 4.678 4.678 4.678
angles (deg): 60.00 60.00 60.00
Positions (direct):
V 0.000 0.000 0.000
Ni 0.125 0.625 0.625
Ni 0.625 0.125 0.625
Ni 0.625 0.625 0.125
Ni 0.625 0.625 0.625
W 0.250 0.250 0.250

Properties
- Magnetization: 1.9 μB per formula unit
- DOS at the Fermi energy: 7.94 states/eV/cell
- Crystal system: cubic


<ii>
VASP calculation (PBE) on crystalline VNi4W at its relaxed geometry.

a b c (Å): 4.083 7.076 4.997
angles (deg): 90.00 90.13 90.00
Positions (direct):
V 0.000 0.000 0.000
V 0.500 0.500 0.000
Ni 0.000 0.333 0.246
Ni 0.000 0.333 0.754
Ni 0.000 0.667 0.246
Ni 0.000 0.667 0.754
Ni 0.500 0.167 0.246
Ni 0.500 0.167 0.754
Ni 0.500 0.833 0.246
Ni 0.500 0.833 0.754
W 0.000 0.000 0.500
W 0.500 0.500 0.500

Properties
- Magnetization: 0.0 μB per formula unit
- DOS at the Fermi energy: 18.06 states/eV/cell
- Crystal system: monoclinic


Short version: <i> is the least stable of them.


<i>
VASP calculation (PBE) on crystalline VNiW3 at its relaxed geometry.

a b c (Å): 4.473 4.473 4.473
angles (deg): 90.00 90.00 90.00
Positions (direct):
V 0.000 0.000 0.000
Ni 0.500 0.500 0.500
W 0.000 0.000 0.500
W 0.000 0.500 0.000
W 0.500 0.000 0.000

Properties
- Magnetization: 0.0 μB per formula unit
- DOS at the Fermi energy: 4.96 states/eV/cell
- Crystal system: cubic


<ii>
VASP calculation (PBE) on crystalline VNiW3 at its relaxed geometry.

a b c (Å): 4.463 4.463 4.463
angles (deg): 90.00 90.00 90.00
Positions (direct):
V 0.000 0.000 0.000
Ni 0.500 0.500 0.500
W 0.000 0.500 0.500
W 0.500 0.000 0.500
W 0.500 0.500 0.000

Properties
- Magnetization: 1.9 μB per formula unit
- DOS at the Fermi energy: 8.24 states/eV/cell
- Crystal system: cubic


Short version: <i> is the least stable of them.


<i>
VASP calculation (PBE) on crystalline YV2Ni at its relaxed geometry.

a b c (Å): 4.154 4.154 18.160
angles (deg): 90.00 90.00 90.00
Positions (direct):
Y 0.000 0.250 0.375
Y 0.000 0.750 0.625
Y 0.500 0.250 0.125
Y 0.500 0.750 0.875
V 0.000 0.000 0.000
V 0.000 0.500 0.000
V 0.250 0.250 0.750
V 0.250 0.750 0.250
V 0.500 0.000 0.500
V 0.500 0.500 0.500
V 0.750 0.250 0.750
V 0.750 0.750 0.250
Ni 0.000 0.250 0.875
Ni 0.000 0.750 0.125
Ni 0.500 0.250 0.625
Ni 0.500 0.750 0.375

Properties
- Magnetization: 0.0 μB per formula unit
- DOS at the Fermi energy: 18.98 states/eV/cell
- Crystal system: tetragonal


<ii>
VASP calculation (PBE) on crystalline YV2Ni at its relaxed geometry.

a b c (Å): 6.296 6.296 6.296
angles (deg): 90.00 90.00 90.00
Positions (direct):
Y 0.000 0.000 0.000
Y 0.000 0.500 0.500
Y 0.500 0.000 0.500
Y 0.500 0.500 0.000
V 0.250 0.250 0.250
V 0.250 0.250 0.750
V 0.250 0.750 0.250
V 0.250 0.750 0.750
V 0.750 0.250 0.250
V 0.750 0.250 0.750
V 0.750 0.750 0.250
V 0.750 0.750 0.750
Ni 0.000 0.000 0.500
Ni 0.000 0.500 0.000
Ni 0.500 0.000 0.000
Ni 0.500 0.500 0.500

Properties
- Magnetization: 0.0 μB per formula unit
- DOS at the Fermi energy: 20.61 states/eV/cell
- Crystal system: cubic


Short version: <i> is the least stable of them.


<i>
VASP calculation (PBE) on crystalline V2ZnNi4 at its relaxed geometry.

a b c (Å): 4.528 6.533 6.550
angles (deg): 119.55 90.42 96.45
Positions (direct):
V 0.000 0.000 0.000
V 0.044 0.295 0.862
V 0.435 0.444 0.454
V 0.950 0.725 0.138
Zn 0.240 0.864 0.580
Zn 0.505 0.998 0.291
Ni 0.028 0.153 0.448
Ni 0.444 0.567 0.167
Ni 0.470 0.722 0.870
Ni 0.523 0.156 0.004
Ni 0.544 0.296 0.719
Ni 0.740 0.867 0.584
Ni 0.930 0.440 0.280
Ni 0.943 0.573 0.697

Properties
- Magnetization: 0.0 μB per formula unit
- DOS at the Fermi energy: 10.45 states/eV/cell
- Crystal system: triclinic


<ii>
VASP calculation (PBE) on crystalline V2ZnNi4 at its relaxed geometry.

a b c (Å): 4.307 4.307 11.679
angles (deg): 90.00 90.00 90.00
Positions (direct):
V 0.000 0.000 0.111
V 0.000 0.000 0.889
V 0.500 0.500 0.389
V 0.500 0.500 0.611
Zn 0.000 0.000 0.500
Zn 0.500 0.500 0.000
Ni 0.000 0.000 0.299
Ni 0.000 0.000 0.701
Ni 0.000 0.500 0.000
Ni 0.000 0.500 0.500
Ni 0.500 0.000 0.000
Ni 0.500 0.000 0.500
Ni 0.500 0.500 0.201
Ni 0.500 0.500 0.799

Properties
- Magnetization: 3.3 μB per formula unit
- DOS at the Fermi energy: 17.75 states/eV/cell
- Crystal system: tetragonal


<iii>
VASP calculation (PBE) on crystalline V2ZnNi4 at its relaxed geometry.

a b c (Å): 4.935 4.935 8.430
angles (deg): 90.00 90.00 58.34
Positions (direct):
V 0.170 0.170 0.000
V 0.330 0.330 0.500
V 0.670 0.670 0.500
V 0.830 0.830 0.000
Zn 0.000 0.000 0.500
Zn 0.500 0.500 0.000
Ni 0.052 0.448 0.750
Ni 0.092 0.908 0.779
Ni 0.408 0.592 0.279
Ni 0.448 0.052 0.250
Ni 0.552 0.948 0.750
Ni 0.592 0.408 0.721
Ni 0.908 0.092 0.221
Ni 0.948 0.552 0.250

Properties
- Magnetization: 0.0 μB per formula unit
- DOS at the Fermi energy: 21.59 states/eV/cell
- Crystal system: orthorhombic


Short version: <ii> is the least stable of them.


<i>
VASP calculation (PBE) on crystalline ZrVNi3 at its relaxed geometry.

a b c (Å): 4.289 4.289 4.289
angles (deg): 90.00 90.00 90.00
Positions (direct):
Zr 0.000 0.000 0.000
V 0.500 0.500 0.500
Ni 0.000 0.500 0.500
Ni 0.500 0.000 0.500
Ni 0.500 0.500 0.000

Properties
- Magnetization: 0.0 μB per formula unit
- DOS at the Fermi energy: 5.10 states/eV/cell
- Crystal system: cubic


<ii>
VASP calculation (PBE) on crystalline ZrVNi3 at its relaxed geometry.

a b c (Å): 5.810 5.810 4.931
angles (deg): 90.00 90.00 120.00
Positions (direct):
Zr 0.333 0.667 0.250
Zr 0.667 0.333 0.750
V 0.000 0.000 0.000
V 0.000 0.000 0.500
Ni 0.199 0.399 0.750
Ni 0.199 0.801 0.750
Ni 0.399 0.199 0.250
Ni 0.601 0.801 0.750
Ni 0.801 0.199 0.250
Ni 0.801 0.601 0.250

Properties
- Magnetization: 0.0 μB per formula unit
- DOS at the Fermi energy: 10.88 states/eV/cell
- Crystal system: hexagonal


<iii>
VASP calculation (PBE) on crystalline ZrVNi3 at its relaxed geometry.

a b c (Å): 4.539 4.539 4.539
angles (deg): 90.00 90.00 90.00
Positions (direct):
Zr 0.000 0.000 0.000
V 0.500 0.500 0.500
Ni 0.000 0.000 0.500
Ni 0.000 0.500 0.000
Ni 0.500 0.000 0.000

Properties
- Magnetization: 3.1 μB per formula unit
- DOS at the Fermi energy: 5.61 states/eV/cell
- Crystal system: cubic


Short version: <iii> is the least stable of them.


<i>
VASP calculation (PBE) on crystalline NiW2 at its relaxed geometry.

a b c (Å): 5.785 5.785 5.785
angles (deg): 90.00 90.00 90.00
Positions (direct):
Ni 0.000 0.000 0.000
Ni 0.000 0.500 0.500
Ni 0.500 0.000 0.500
Ni 0.500 0.500 0.000
W 0.127 0.627 0.873
W 0.127 0.873 0.373
W 0.373 0.127 0.873
W 0.373 0.373 0.373
W 0.627 0.627 0.627
W 0.627 0.873 0.127
W 0.873 0.127 0.627
W 0.873 0.373 0.127

Properties
- Magnetization: 0.0 μB per formula unit
- DOS at the Fermi energy: 17.94 states/eV/cell
- Crystal system: cubic


<ii>
VASP calculation (PBE) on crystalline NiW2 at its relaxed geometry.

a b c (Å): 2.675 2.675 12.109
angles (deg): 90.00 90.00 90.00
Positions (direct):
Ni 0.000 0.000 0.000
Ni 0.500 0.500 0.500
W 0.000 0.000 0.345
W 0.000 0.000 0.655
W 0.500 0.500 0.155
W 0.500 0.500 0.845

Properties
- Magnetization: 0.0 μB per formula unit
- DOS at the Fermi energy: 4.13 states/eV/cell
- Crystal system: tetragonal


Short version: <i> is the least stable of them.


<i>
VASP calculation (PBE) on crystalline Ni7W at its relaxed geometry.

a b c (Å): 5.072 5.072 4.106
angles (deg): 90.00 90.00 120.00
Positions (direct):
Ni 0.000 0.000 0.000
Ni 0.330 0.165 0.500
Ni 0.503 0.005 0.000
Ni 0.503 0.497 0.000
Ni 0.835 0.165 0.500
Ni 0.835 0.670 0.500
Ni 0.995 0.497 0.000
W 0.333 0.667 0.500

Properties
- Magnetization: 0.0 μB per formula unit
- DOS at the Fermi energy: 10.12 states/eV/cell
- Crystal system: hexagonal


<ii>
VASP calculation (PBE) on crystalline Ni7W at its relaxed geometry.

a b c (Å): 5.065 5.065 5.065
angles (deg): 60.00 60.00 60.00
Positions (direct):
Ni 0.000 0.000 0.000
Ni 0.000 0.000 0.500
Ni 0.000 0.500 0.000
Ni 0.000 0.500 0.500
Ni 0.500 0.000 0.000
Ni 0.500 0.000 0.500
Ni 0.500 0.500 0.000
W 0.500 0.500 0.500

Properties
- Magnetization: 1.1 μB per formula unit
- DOS at the Fermi energy: 10.54 states/eV/cell
- Crystal system: cubic


Short version: <ii> is the least stable of them.